(1)
Crystalline Ce4DyTe6 at its relaxed geometry. Source: the Alexandria database, functional PBE-GGA. Values from VASP.

Computed properties:
The calculation puts the total energy at -122.5 eV for the cell shown. As for the volume: 31.92 Å³ per atom. The calculation puts the size of the total moment at 11.4 μB/cell.

The structure in Quantum ESPRESSO input format:
```
&SYSTEM
  ibrav = 0, nat = 22, ntyp = 3
/
ATOMIC_SPECIES
Ce 140.12 Ce.upf
Dy 162.50 Dy.upf
Te 127.60 Te.upf
CELL_PARAMETERS angstrom
8.8889 -0.1173 0.0436
-0.0433 8.8895 0.0436
0.1183 0.1173 8.8882
ATOMIC_POSITIONS angstrom
Ce 3.2148 1.2404 2.2439
Ce 7.6674 2.1637 3.2395
Ce 2.2112 5.6851 1.2918
Ce 2.3001 2.2810 6.6879
Ce 6.6638 6.6085 2.2875
Ce 6.7527 3.2044 7.6836
Ce 1.2965 6.7258 5.7359
Ce 5.7491 7.6492 6.7316
Dy 4.4820 4.4448 4.4877
Dy 0.0000 0.0000 0.0000
Te 6.0298 0.4583 0.7684
Te 0.7294 2.8637 0.5457
Te 5.1827 3.8691 1.6227
Te 8.4374 0.7055 6.0668
Te 5.0338 1.5810 5.2125
Te 1.6123 3.7393 3.9420
Te 7.3516 5.1503 5.0334
Te 3.9301 7.3085 3.7629
Te 0.5265 8.1840 2.9086
Te 3.7812 5.0204 7.3527
Te 8.2345 6.0258 8.4297
Te 2.9341 8.4312 8.2070
```

(2)
Crystalline Ce2DyTmTe5 at its relaxed geometry. Source: the Alexandria database, functional PBE-GGA. Values from VASP.

Computed properties:
The calculation puts the total energy at -44.2 eV for the cell shown. As for the volume: 38.26 Å³ per atom. The calculation puts the size of the total moment at 3.5 μB/cell.

The structure in Quantum ESPRESSO input format:
```
&SYSTEM
  ibrav = 0, nat = 9, ntyp = 4
/
ATOMIC_SPECIES
Ce 140.12 Ce.upf
Dy 162.50 Dy.upf
Tm 168.93 Tm.upf
Te 127.60 Te.upf
CELL_PARAMETERS angstrom
5.4650 0.0000 0.0000
0.0000 5.4650 0.0000
0.0000 0.0000 11.5290
ATOMIC_POSITIONS angstrom
Ce 2.7325 2.7325 3.6422
Ce 2.7325 2.7325 7.8868
Dy 0.0000 0.0000 0.0000
Tm 0.0000 0.0000 5.7645
Te 0.0000 2.7325 5.7645
Te 2.7325 0.0000 5.7645
Te 0.0000 0.0000 8.6954
Te 0.0000 0.0000 2.8336
Te 2.7325 2.7325 0.0000
```

(3)
Crystalline Ce3Dy2TmTe6 at its relaxed geometry. Source: the Alexandria database, functional PBE-GGA. Values from VASP.

Computed properties:
The calculation puts the total energy at -66.2 eV for the cell shown. As for the volume: 30.38 Å³ per atom. The calculation puts the size of the total moment at 3.6 μB/cell.

The structure in Quantum ESPRESSO input format:
```
&SYSTEM
  ibrav = 0, nat = 12, ntyp = 4
/
ATOMIC_SPECIES
Ce 140.12 Ce.upf
Dy 162.50 Dy.upf
Tm 168.93 Tm.upf
Te 127.60 Te.upf
CELL_PARAMETERS angstrom
7.5683 -0.0068 -0.0016
-3.7882 6.5520 -0.0016
-1.2624 -2.1858 7.3570
ATOMIC_POSITIONS angstrom
Ce -2.5019 4.3517 3.6769
Ce 5.0197 0.0077 3.6769
Ce 1.2589 2.1797 3.6769
Dy 0.0026 4.3627 -0.0016
Dy 3.7776 2.1825 -0.0016
Tm 0.0000 0.0000 0.0000
Te 3.7704 2.1975 5.6169
Te 2.5325 4.3849 1.7521
Te -1.2527 2.1619 1.7368
Te 0.0191 4.3640 5.6169
Te -0.0147 -0.0255 5.6017
Te 2.4987 -0.0046 1.7368
```

(4)
Crystalline Ce3Dy3TmTe8 at its relaxed geometry. Source: the Alexandria database, functional PBE-GGA. Values from VASP.

Computed properties:
The calculation puts the total energy at -81.8 eV for the cell shown. As for the volume: 32.30 Å³ per atom. The calculation puts the size of the total moment at 3.9 μB/cell.

The structure in Quantum ESPRESSO input format:
```
&SYSTEM
  ibrav = 0, nat = 15, ntyp = 4
/
ATOMIC_SPECIES
Ce 140.12 Ce.upf
Dy 162.50 Dy.upf
Tm 168.93 Tm.upf
Te 127.60 Te.upf
CELL_PARAMETERS angstrom
8.7717 0.0002 0.0003
-4.3857 7.5969 -0.0271
0.0000 -5.0395 7.2884
ATOMIC_POSITIONS angstrom
Ce 0.0000 0.0000 0.0000
Ce -2.1929 3.7984 -0.0135
Ce 2.1930 3.7985 -0.0134
Dy 4.3859 -2.5197 3.6443
Dy 2.1930 1.2788 3.6308
Dy -2.1928 1.2787 3.6307
Tm 0.0000 -2.5198 3.6442
Te 0.0000 2.5390 1.8873
Te 4.3860 0.0186 5.3743
Te 4.3859 2.5049 1.8680
Te 0.0001 0.0527 5.3936
Te 6.5495 -1.2425 1.8814
Te -2.1634 3.8001 5.3803
Te 2.2223 -1.2426 1.8812
Te 2.1638 3.8002 5.3804
```

(5)
Crystalline CeDy3Tm2Te6 at its relaxed geometry. Source: the Alexandria database, functional PBE-GGA. Values from VASP.

Computed properties:
The calculation puts the total energy at -62.7 eV for the cell shown. As for the volume: 29.31 Å³ per atom. The calculation puts the size of the total moment at 1.3 μB/cell.

The structure in Quantum ESPRESSO input format:
```
&SYSTEM
  ibrav = 0, nat = 12, ntyp = 4
/
ATOMIC_SPECIES
Ce 140.12 Ce.upf
Dy 162.50 Dy.upf
Tm 168.93 Tm.upf
Te 127.60 Te.upf
CELL_PARAMETERS angstrom
-1.6877 -2.0797 3.3977
0.7175 -7.6213 -4.3086
9.1635 1.6538 2.8093
ATOMIC_POSITIONS angstrom
Ce -0.8438 -1.0399 1.6989
Dy -0.4851 -4.8505 -0.4554
Dy 4.9249 -1.8848 4.0470
Dy 3.2684 -6.1625 -2.1486
Tm 5.2275 -5.7363 1.8399
Tm 2.9658 -2.3110 0.0586
Te 6.1051 -6.5317 -0.9656
Te 2.3904 -5.2656 0.7188
Te 2.0882 -1.5155 2.8640
Te 0.2330 -1.9727 -1.0917
Te 7.9603 -6.0746 2.9902
Te 5.8028 -2.7816 1.1797
```

(6)
Crystalline CeDy2Tm3Te6 at its relaxed geometry. Source: the Alexandria database, functional PBE-GGA. Values from VASP.

Computed properties:
The calculation puts the total energy at -62.3 eV for the cell shown. As for the volume: 29.13 Å³ per atom. The calculation puts the size of the total moment at 1.3 μB/cell.

The structure in Quantum ESPRESSO input format:
```
&SYSTEM
  ibrav = 0, nat = 12, ntyp = 4
/
ATOMIC_SPECIES
Ce 140.12 Ce.upf
Dy 162.50 Dy.upf
Tm 168.93 Tm.upf
Te 127.60 Te.upf
CELL_PARAMETERS angstrom
-2.2127 -3.6961 0.0021
0.5922 -0.3495 8.7625
-6.9521 6.6714 -1.6721
ATOMIC_POSITIONS angstrom
Ce -1.1064 -1.8480 0.0011
Dy -6.1407 1.1686 4.7791
Dy -2.4319 1.4572 2.3134
Tm -0.8103 -2.0228 4.3823
Tm -6.4240 1.3356 0.3459
Tm -2.1486 1.2902 6.7467
Te -4.7441 2.8441 6.9548
Te -3.4591 -0.4369 4.5663
Te -3.8285 -0.2183 0.1377
Te -8.9903 2.8722 0.6177
Te 0.4177 -0.2464 6.4748
Te -5.1135 3.0627 2.5262
```

(7)
Crystalline CeDy2TmTe5 at its relaxed geometry. Source: the Alexandria database, functional PBE-GGA. Values from VASP.

Computed properties:
The calculation puts the total energy at -41.6 eV for the cell shown. As for the volume: 39.58 Å³ per atom. The calculation puts the size of the total moment at 1.7 μB/cell.

The structure in Quantum ESPRESSO input format:
```
&SYSTEM
  ibrav = 0, nat = 9, ntyp = 4
/
ATOMIC_SPECIES
Ce 140.12 Ce.upf
Dy 162.50 Dy.upf
Tm 168.93 Tm.upf
Te 127.60 Te.upf
CELL_PARAMETERS angstrom
-3.4000 1.6960 3.9620
-1.8288 -5.1374 0.6297
8.4044 -2.0027 8.0695
ATOMIC_POSITIONS angstrom
Ce 0.0000 0.0000 0.0000
Dy 0.3495 -2.4270 5.1417
Dy 2.8260 -3.0171 7.5196
Tm 4.2022 -1.0014 4.0348
Te 3.2878 -3.5700 4.3496
Te 2.5022 -0.1534 6.0158
Te 6.2738 -1.4950 6.0238
Te 2.1306 -0.5077 2.0457
Te -2.6144 -1.7207 2.2959
```

(8)
Crystalline Ce2DyTm3Te6 at its relaxed geometry. Source: the Alexandria database, functional PBE-GGA. Values from VASP.

Computed properties:
The calculation puts the total energy at -63.9 eV for the cell shown. As for the volume: 29.56 Å³ per atom. The calculation puts the size of the total moment at 2.6 μB/cell.

The structure in Quantum ESPRESSO input format:
```
&SYSTEM
  ibrav = 0, nat = 12, ntyp = 4
/
ATOMIC_SPECIES
Ce 140.12 Ce.upf
Dy 162.50 Dy.upf
Tm 168.93 Tm.upf
Te 127.60 Te.upf
CELL_PARAMETERS angstrom
-0.8416 4.2361 -0.0410
-1.1909 -0.1516 8.7788
9.7595 -0.2742 -1.1734
ATOMIC_POSITIONS angstrom
Ce 4.9944 3.2427 5.0191
Ce 2.7326 0.5676 2.5452
Dy -0.4208 2.1180 -0.0205
Tm -1.0162 2.0422 4.3689
Tm 5.5681 3.3143 0.6473
Tm 2.1589 0.4959 6.9171
Te 5.1234 1.0890 7.3442
Te 1.9088 2.6275 4.7919
Te 2.6036 2.7212 0.2202
Te 8.5415 3.9085 0.9983
Te -0.8144 -0.0982 6.5660
Te 5.8182 1.1828 2.7725
```